DFT (PBE) results for a geometry-optimized Ca3NiPt2 structure.

For the formation energy, the calculation gives -401 kJ/mol of formula units. The value obtained for the final energy is -4.670 eV per atom. The density of states at the Fermi level is 6.44 states/eV per cell.

The structure belongs to space group Pnma (No. 62); the cell edges are 11.3677, 4.2138 and 11.6020 Å and the angles 90.00°, 90.00° and 90.00°. The asymmetric unit holds Ca at (0.0530, 0.2500, 0.1211), Ca at (0.1186, 0.7500, 0.5551), Ca at (0.2072, 0.2500, 0.8004), Ni at (0.1262, 0.2500, 0.3659), Pt at (0.0265, 0.7500, 0.3116) and Pt at (0.1950, 0.7500, 0.9910).